1.
The following is a DFT calculation (GGA-PBE) of a relaxed Zn2RuSe crystal.

Cell: 4.320 3.158 4.577 Å, 89.98 90.00 90.00°
Fractional coordinates of all 4 atoms:
Ru 0.000 0.625 0.476
Se 0.500 0.625 0.758
Zn 0.500 0.125 0.293
Zn 0.000 0.125 0.973

Results
total DFT energy (no corrections) = -3.775 eV/atom

---

2.
The following is a DFT calculation (GGA-PBE) of a relaxed SrPrGeAu crystal.

Cell: 5.353 5.353 5.353 Å, 60.00 60.00 60.00°
Fractional coordinates of all 4 atoms:
Sr 0.500 0.500 0.500
Ge 0.250 0.250 0.250
Pr 0.000 0.000 0.000
Au 0.750 0.750 0.750

Results
total DFT energy (no corrections) = -4.272 eV/atom
calculated formation energy = -65.9 kJ/mol of atoms

---

3.
The following is a DFT calculation (GGA-PBE) of a relaxed NpPaPd6 crystal.

Cell: 4.978 5.769 5.769 Å, 120.01 90.00 90.00°
Each line ends with the local moment (μB).
Fractional coordinates of all 8 atoms:
Pd 0.500 0.915 0.579  -0.01
Pd 0.500 0.915 0.085  -0.01
Pd 0.500 0.421 0.085  -0.01
Pd 0.000 0.587 0.413  0.01
Pd 0.000 0.075 0.413  0.01
Pd 0.000 0.587 0.925  0.01
Pa 0.000 0.083 0.917  -0.02
Np 0.500 0.417 0.583  3.46

Results
total DFT energy (no corrections) = -7.303 eV/atom
calculated formation energy = -58.3 kJ/mol of atoms

---

Copy entry 2 word for word.
The following is a DFT calculation (GGA-PBE) of a relaxed SrPrGeAu crystal.

Cell: 5.353 5.353 5.353 Å, 60.00 60.00 60.00°
Fractional coordinates of all 4 atoms:
Sr 0.500 0.500 0.500
Ge 0.250 0.250 0.250
Pr 0.000 0.000 0.000
Au 0.750 0.750 0.750

Results
total DFT energy (no corrections) = -4.272 eV/atom
calculated formation energy = -65.9 kJ/mol of atoms

---

- Among the records above, which one has the highest total DFT energy (no corrections)?
  Zn2RuSe

---

- Which of these has the lowest total DFT energy (no corrections)?
  NpPaPd6

---

Copy entry 2 word for word.
The following is a DFT calculation (GGA-PBE) of a relaxed SrPrGeAu crystal.

Cell: 5.353 5.353 5.353 Å, 60.00 60.00 60.00°
Fractional coordinates of all 4 atoms:
Sr 0.500 0.500 0.500
Ge 0.250 0.250 0.250
Pr 0.000 0.000 0.000
Au 0.750 0.750 0.750

Results
total DFT energy (no corrections) = -4.272 eV/atom
calculated formation energy = -65.9 kJ/mol of atoms